Record 1
Here is a geometry-optimized In2AgGe structure from the Alexandria database. Energies are from PBE.

POSCAR file:
```
In2AgGe
1.0
3.237 0.000 0.000
0.000 3.237 0.000
0.000 0.000 8.401
In Ag Ge
2 1 1
direct
0.000 0.000 0.244
0.000 0.000 0.756
0.500 0.500 0.000
0.500 0.500 0.500
```

Summary:
- Space-group type: P4/mmm
- M_tot: 0.0 μB/f.u.
- Mass density: 7.74 g cm⁻³
- Electronic total energy: -3.1150 eV per atom

---

Record 2
Here is a geometry-optimized InAgGe2 structure from the Alexandria database. Energies are from PBE.

POSCAR file:
```
InAgGe2
1.0
-2.050 2.050 10.197
2.050 -2.050 10.197
2.050 2.050 -10.197
In Ag Ge
2 2 4
direct
0.000 0.000 0.000
0.750 0.250 0.500
0.250 0.750 0.500
0.500 0.500 0.000
0.147 0.625 0.022
0.375 0.397 0.522
0.603 0.125 0.978
0.875 0.853 0.478
```

Summary:
- Space-group type: I-42d
- M_tot: 0.0 μB/f.u.
- Mass density: 7.13 g cm⁻³
- Electronic total energy: -3.4910 eV per atom

---

Record 3
Here is a geometry-optimized In3AgGe structure from the Alexandria database. Energies are from PBE.

POSCAR file:
```
In3AgGe
1.0
5.299 0.000 0.000
0.000 5.299 0.000
0.000 0.000 5.299
In Ag Ge
3 1 1
direct
0.000 0.000 0.500
0.000 0.500 0.000
0.500 0.000 0.000
0.000 0.000 0.000
0.500 0.500 0.500
```

Summary:
- Space-group type: Pm-3m
- M_tot: 0.0 μB/f.u.
- Mass density: 5.86 g cm⁻³
- Electronic total energy: -2.6708 eV per atom

---

Record 4
Here is a geometry-optimized In2Ag2Ge structure from the Alexandria database. Energies are from PBE.

POSCAR file:
```
In2Ag2Ge
1.0
8.443 0.000 0.000
0.000 8.443 0.000
0.000 0.000 3.073
In Ag Ge
4 4 2
direct
0.176 0.324 0.000
0.324 0.824 0.000
0.676 0.176 0.000
0.824 0.676 0.000
0.122 0.622 0.500
0.378 0.122 0.500
0.622 0.878 0.500
0.878 0.378 0.500
0.000 0.000 0.000
0.500 0.500 0.000
```

Summary:
- Space-group type: P4/mbm
- Relative energy among the computed polymorphs: 13 meV per atom
- M_tot: 0.0 μB/f.u.
- Mass density: 7.86 g cm⁻³
- Electronic total energy: -2.9969 eV per atom

---

Record 5
Here is a geometry-optimized InAg2Ge2 structure from the Alexandria database. Energies are from PBE.

POSCAR file:
```
InAg2Ge2
1.0
-2.105 2.105 6.007
2.105 -2.105 6.007
2.105 2.105 -6.007
In Ag Ge
1 2 2
direct
0.000 0.000 0.000
0.250 0.750 0.500
0.750 0.250 0.500
0.393 0.393 0.000
0.607 0.607 0.000
```

Summary:
- Space-group type: I4/mmm
- Relative energy among the computed polymorphs: 8 meV per atom
- M_tot: 0.0 μB/f.u.
- Mass density: 7.42 g cm⁻³
- Electronic total energy: -3.3472 eV per atom

---

Record 6
Here is a geometry-optimized Li5In2Ag2Ge structure from the Alexandria database. Energies are from PBE.

POSCAR file:
```
Li5In2Ag2Ge
1.0
10.244 0.000 0.000
0.000 10.244 0.000
0.000 0.000 3.485
Li In Ag Ge
10 4 4 2
direct
0.000 0.500 0.000
0.070 0.185 0.000
0.185 0.930 0.000
0.315 0.430 0.000
0.430 0.685 0.000
0.500 0.000 0.000
0.570 0.315 0.000
0.685 0.570 0.000
0.815 0.070 0.000
0.930 0.815 0.000
0.168 0.668 0.500
0.332 0.168 0.500
0.668 0.832 0.500
0.832 0.332 0.500
0.133 0.367 0.500
0.367 0.867 0.500
0.633 0.133 0.500
0.867 0.633 0.500
0.000 0.000 0.500
0.500 0.500 0.500
```

Summary:
- Space-group type: P4/mbm
- M_tot: 0.0 μB/f.u.
- Mass density: 5.02 g cm⁻³
- Electronic total energy: -2.7192 eV per atom

---

Record 7
Here is a geometry-optimized Li2InAgGe structure from the Alexandria database. Energies are from PBE.

POSCAR file:
```
Li2InAgGe
1.0
5.386 0.000 0.000
0.000 5.525 0.000
0.000 0.000 6.674
Li In Ag Ge
4 2 2 2
direct
0.250 0.246 0.183
0.250 0.754 0.183
0.750 0.246 0.817
0.750 0.754 0.817
0.250 0.500 0.641
0.750 0.500 0.359
0.000 0.000 0.500
0.500 0.000 0.500
0.250 0.000 0.841
0.750 0.000 0.159
```

Summary:
- Space-group type: Pmma
- M_tot: 0.0 μB/f.u.
- Mass density: 5.17 g cm⁻³
- Electronic total energy: -2.9115 eV per atom

---

Record 8
Here is a geometry-optimized LiIn2AgGe structure from the Alexandria database. Energies are from PBE.

POSCAR file:
```
LiIn2AgGe
1.0
4.941 0.000 0.000
0.000 4.941 0.000
0.000 0.000 4.650
Li In Ag Ge
1 2 1 1
direct
0.000 0.000 0.000
0.000 0.500 0.000
0.500 0.000 0.000
0.000 0.000 0.500
0.500 0.500 0.500
```

Summary:
- Space-group type: P4/mmm
- M_tot: 0.0 μB/f.u.
- Mass density: 6.10 g cm⁻³
- Electronic total energy: -2.5978 eV per atom